1.
LiLa2CoSb, optimized geometry, DFT PBE; spin magnetization = 0.0 μB/cell; energy = -25.251 eV per cell; uncorrected formation energy = -0.451 eV per atom
1.0
5.2000 0.0000 0.0000
0.0000 5.2000 0.0000
0.0000 0.0000 4.7891
Li La Co Sb
1 2 1 1
direct
0.0000 0.0000 0.0000
0.0000 0.5000 0.5000
0.5000 0.0000 0.5000
0.0000 0.0000 0.5000
0.5000 0.5000 0.0000

=====

2.
AgSe3, optimized geometry, DFT PBE; spin magnetization = 0.0 μB/cell; energy = -11.667 eV per cell; uncorrected formation energy = 0.409 eV per atom
1.0
2.9490 0.0000 0.0000
-1.4745 2.5539 0.0000
0.0000 0.0000 12.0760
Ag Se
1 3
direct
0.0000 0.0000 0.0000
0.0000 0.0000 0.5000
0.6667 0.3333 0.1966
0.6667 0.3333 0.8034